# 1
# Tl2GaSn6

A relaxed Tl2GaSn6 crystal (PBE, Alexandria via LeMat-Bulk).

Output
Its formation energy is 0.046 eV per atom. Its energy above the lowest structure with this stoichiometry is 10.0 meV per atom. The calculation puts the total energy at -3.484 eV/atom.

a = 9.5286 Å, b = 9.5286 Å, c = 3.1751 Å
α = 90.00°, β = 90.00°, γ = 120.00°
Space group P6/mmm (No. 191)
Asymmetric unit:
Tl1 0.3333 0.6667 0.0000 [2 per cell]
Ga1 0.0000 0.0000 0.0000 [1 per cell]
Sn1 0.0000 0.3260 0.5000 [6 per cell]

# 2
# CaCrCo2

A relaxed CaCrCo2 crystal (PBE, Alexandria via LeMat-Bulk).

Output
Its formation energy is 0.271 eV per atom. Its energy above the lowest structure with this stoichiometry is 0.0 meV per atom. The calculation puts the total energy at -6.188 eV/atom.

a = 4.0030 Å, b = 4.0030 Å, c = 15.4250 Å
α = 90.00°, β = 90.00°, γ = 120.00°
Space group R-3m (No. 166, hexagonal axes)
Asymmetric unit:
Ca1 0.0000 0.0000 0.0000 [3 per cell]
Cr1 0.0000 0.0000 0.5000 [3 per cell]
Co1 0.0000 0.0000 0.1914 [6 per cell]

# 3
# Bi2Pd7Pb2Au

A relaxed Bi2Pd7Pb2Au crystal (PBE, Alexandria via LeMat-Bulk).

Output
Its formation energy is -0.128 eV per atom. The calculation puts the total energy at -4.695 eV/atom.

a = 5.6880 Å, b = 5.6463 Å, c = 15.7666 Å
α = 90.00°, β = 96.17°, γ = 90.00°
Space group C2/m (No. 12)
Asymmetric unit:
Bi1 0.1347 0.0000 0.3973 [4 per cell]
Pd1 0.0000 0.5000 0.0000 [2 per cell]
Pd2 0.1593 0.5000 0.4353 [4 per cell]
Pd3 0.2101 0.2501 0.8703 [8 per cell]
Pb1 0.0778 0.5000 0.2519 [4 per cell]
Au1 0.0000 0.0000 0.0000 [2 per cell]

# 4
# K2CeSbS5

A relaxed K2CeSbS5 crystal (PBE, Alexandria via LeMat-Bulk).

Output
The calculation puts the total energy at -4.723 eV/atom. As for the formation energy without anion corrections: -1.0683 eV per atom.

a = 4.3282 Å, b = 17.0388 Å, c = 14.0645 Å
α = 90.00°, β = 90.00°, γ = 90.00°
Space group Cmc2_1 (No. 36)
Asymmetric unit:
K1 0.0000 0.1067 0.0000 [4 per cell]
K2 0.0000 0.1479 0.6178 [4 per cell]
Ce1 0.0000 0.2163 0.3328 [4 per cell]
Sb1 0.0000 0.4802 0.7584 [4 per cell]
S1 0.0000 0.0466 0.3475 [4 per cell]
S2 0.0000 0.2882 0.9518 [4 per cell]
S3 0.0000 0.3215 0.7127 [4 per cell]
S4 0.0000 0.3701 0.3079 [4 per cell]
S5 0.0000 0.4897 0.0950 [4 per cell]

# 5
# Sr2GeH2

A relaxed Sr2GeH2 crystal (PBE, Alexandria via LeMat-Bulk).

Output
Its energy above the lowest structure with this stoichiometry is 0.0 meV per atom. The calculation puts the total energy at -3.401 eV/atom.

a = 3.8361 Å, b = 3.8361 Å, c = 14.5591 Å
α = 90.00°, β = 90.00°, γ = 90.00°
Space group I4/mmm (No. 139)
Asymmetric unit:
Sr1 0.0000 0.0000 0.1490 [4 per cell]
Ge1 0.0000 0.0000 0.5000 [2 per cell]
H1 0.0000 0.5000 0.2500 [4 per cell]

# 6
# LaSb3O9

A relaxed LaSb3O9 crystal (PBE, Alexandria via LeMat-Bulk).

Output
The calculation puts the total energy at -6.592 eV/atom. As for the formation energy without anion corrections: -1.8288 eV per atom.

a = 6.6379 Å, b = 8.9880 Å, c = 11.9108 Å
α = 90.00°, β = 90.00°, γ = 90.00°
Space group Cmcm (No. 63)
Asymmetric unit:
La1 0.0000 0.2453 0.2500 [4 per cell]
Sb1 0.0000 0.1217 0.5917 [8 per cell]
Sb2 0.0000 0.5000 0.0000 [4 per cell]
O1 0.0000 0.0563 0.7500 [4 per cell]
O2 0.0000 0.1041 0.0747 [8 per cell]
O3 0.0000 0.3366 0.6169 [8 per cell]
O4 0.1948 0.3871 0.0998 [16 per cell]

What is the total energy in the fifth record?
-3.401 eV/atom